[1]
Compound: Sn2GeBiS
Source: Alexandria via LeMat-Bulk
Functional: GGA-PBE
Structure: relaxed

Summary:
* crystal system: tetragonal
* electronic total energy: -3.4642 eV/atom
* uncorrected formation energy: 0.66 eV/atom

Unit cell a=5.4582 b=5.4582 c=5.4182 alpha=90.00 beta=90.00 gamma=90.00
Closest atoms and distances in Å follow each position.
Element x y z (fractional)
Sn (0.0000, 0.5000, 0.0000)  2 Ge 2.73
Sn (0.5000, 0.0000, 0.0000)  2 Ge 2.73
Ge (0.0000, 0.0000, 0.0000)  2 Bi 2.71, 4 Sn 2.73
Bi (0.0000, 0.0000, 0.5000)  2 Ge 2.71
S (0.5000, 0.5000, 0.5000)  8 Sn 3.85, 4 Bi 3.86



[2]
Compound: LaErTm2
Source: Alexandria via LeMat-Bulk
Functional: GGA-PBE
Structure: relaxed

Summary:
* crystal system: tetragonal
* electronic total energy: -4.5670 eV/atom
* energy of formation from the pure elements: 0.041 eV per atom

Unit cell a=5.0519 b=5.0519 c=5.0187 alpha=90.00 beta=90.00 gamma=90.00
Closest atoms and distances in Å follow each position.
Element x y z (fractional)
La (0.0000, 0.0000, 0.0000)  8 Tm 3.56, 4 Er 3.57
Er (0.5000, 0.5000, 0.0000)  8 Tm 3.56, 4 La 3.57
Tm (0.0000, 0.5000, 0.5000)  4 La 3.56, 4 Er 3.56, 4 Tm 3.57
Tm (0.5000, 0.0000, 0.5000)  4 La 3.56, 4 Er 3.56, 4 Tm 3.57



[3]
Compound: TcSe
Source: Alexandria via LeMat-Bulk
Functional: GGA-PBE
Structure: relaxed

Summary:
* crystal system: tetragonal
* electronic total energy: -6.8349 eV/atom
* uncorrected formation energy: 0.09 eV/atom

Unit cell a=7.7864 b=7.7864 c=7.7864 alpha=92.46 beta=92.46 gamma=156.10
Closest atoms and distances in Å follow each position.
Element x y z (fractional)
Tc (0.1536, 0.7282, 0.8818)  4 Se 2.41-2.56, 2 Tc 2.67
Tc (0.2718, 0.1536, 0.4254)  4 Se 2.41-2.56, 2 Tc 2.67
Tc (0.7282, 0.8464, 0.5746)  4 Se 2.41-2.56, 2 Tc 2.67
Tc (0.8464, 0.2718, 0.1182)  4 Se 2.41-2.56, 2 Tc 2.67
Se (0.0736, 0.2846, 0.3582)  4 Tc 2.41-2.56
Se (0.2846, 0.9264, 0.2111)  4 Tc 2.41-2.56
Se (0.7154, 0.0736, 0.7889)  4 Tc 2.41-2.56
Se (0.9264, 0.7154, 0.6418)  4 Tc 2.41-2.56



[4]
Compound: Cu2MoPt4
Source: Alexandria via LeMat-Bulk
Functional: GGA-PBE
Structure: relaxed

Summary:
* crystal system: tetragonal
* electronic total energy: -6.0775 eV/atom
* energy of formation from the pure elements: 0.092 eV per atom

Unit cell a=6.5965 b=6.5965 c=6.5965 alpha=109.35 beta=109.35 gamma=109.71
Closest atoms and distances in Å follow each position.
Element x y z (fractional)
Cu (0.3750, 0.0008, 0.1258)  8 Pt 2.63-2.65
Cu (0.7508, 0.6250, 0.6258)  8 Pt 2.63-2.65
Cu (0.8750, 0.2492, 0.8742)  8 Pt 2.63-2.65
Cu (0.9992, 0.1250, 0.3742)  8 Pt 2.63-2.65
Mo (0.2500, 0.7500, 0.5000)  8 Pt 2.62-2.63
Mo (0.5000, 0.5000, 0.0000)  8 Pt 2.62-2.63
Pt (0.1264, 0.0427, 0.7486)  2 Mo 2.62-2.63, 4 Cu 2.63-2.65, 3 Pt 2.80-2.86
Pt (0.1278, 0.5441, 0.7514)  2 Mo 2.62-2.63, 4 Cu 2.63-2.65, 3 Pt 2.80-2.86
Pt (0.2941, 0.3778, 0.2514)  2 Mo 2.62-2.63, 4 Cu 2.63-2.65, 3 Pt 2.80-2.86
Pt (0.4559, 0.2073, 0.5836)  2 Mo 2.62-2.63, 4 Cu 2.63-2.65, 3 Pt 2.80-2.86
Pt (0.6222, 0.8736, 0.9164)  2 Mo 2.62-2.63, 4 Cu 2.63-2.65, 3 Pt 2.80-2.86
Pt (0.6236, 0.8722, 0.4164)  2 Mo 2.62-2.63, 4 Cu 2.63-2.65, 3 Pt 2.80-2.86
Pt (0.7927, 0.3764, 0.2486)  2 Mo 2.62-2.63, 4 Cu 2.63-2.65, 3 Pt 2.80-2.86
Pt (0.9573, 0.7059, 0.0836)  2 Mo 2.62-2.63, 4 Cu 2.63-2.65, 3 Pt 2.80-2.86